# 1
# PBE PmPr2Dy9, optimized geometry
data_PmPr2Dy9
_chemical_formula_sum 'Pm1 Pr2 Dy9'
_symmetry_space_group_name_H-M 'P 4/m m m'
_symmetry_Int_Tables_number 123
_symmetry_space_group_name_Hall '-P 4 2'
_cell_length_a 5.061
_cell_length_b 5.061
_cell_length_c 15.185
_cell_angle_alpha 90.00
_cell_angle_beta 90.00
_cell_angle_gamma 90.00
loop_
_atom_site_label
_atom_site_type_symbol
_atom_site_fract_x
_atom_site_fract_y
_atom_site_fract_z
Pm1 Pm 0.000 0.000 0.000
Pr1 Pr 0.000 0.000 0.333
Dy1 Dy 0.000 0.500 0.166
Dy2 Dy 0.000 0.500 0.500
Dy3 Dy 0.500 0.500 0.000
Dy4 Dy 0.500 0.500 0.333
# Formation enthalpy at 0 K (eV per atom): 0.02
# D(E_F) (states/eV/atom): 1.46
# Polymorph energy (0 for the lowest one) (kcal/mol of atoms): 0.00
# ρ (g/cm3): 8.1
# E (eV/atom): -4.623

# 2
# PBE KYIr3, optimized geometry
data_KYIr3
_chemical_formula_sum 'K1 Y1 Ir3'
_symmetry_space_group_name_H-M 'P m -3 m'
_symmetry_Int_Tables_number 221
_symmetry_space_group_name_Hall '-P 4 2 3'
_cell_length_a 5.167
_cell_length_b 5.167
_cell_length_c 5.167
_cell_angle_alpha 90.00
_cell_angle_beta 90.00
_cell_angle_gamma 90.00
loop_
_atom_site_label
_atom_site_type_symbol
_atom_site_fract_x
_atom_site_fract_y
_atom_site_fract_z
K1 K 0.000 0.000 0.000
Y1 Y 0.500 0.500 0.500
Ir1 Ir 0.000 0.500 0.500
# Formation enthalpy at 0 K (eV per atom): 1.60
# D(E_F) (states/eV/atom): 1.37
# Polymorph energy (0 for the lowest one) (kcal/mol of atoms): 0.00
# ρ (g/cm3): 8.5
# E (eV/atom): -5.231

# 3
# PBE SrAcAl2, optimized geometry
data_SrAcAl2
_chemical_formula_sum 'Sr1 Ac1 Al2'
_symmetry_space_group_name_H-M 'P 4/m m m'
_symmetry_Int_Tables_number 123
_symmetry_space_group_name_Hall '-P 4 2'
_cell_length_a 3.937
_cell_length_b 3.937
_cell_length_c 8.001
_cell_angle_alpha 90.00
_cell_angle_beta 90.00
_cell_angle_gamma 90.00
loop_
_atom_site_label
_atom_site_type_symbol
_atom_site_fract_x
_atom_site_fract_y
_atom_site_fract_z
Sr1 Sr 0.000 0.000 0.000
Ac1 Ac 0.000 0.000 0.500
Al1 Al 0.500 0.500 0.249
# Formation enthalpy at 0 K (eV per atom): -0.15
# D(E_F) (states/eV/atom): 0.71
# ρ (g/cm3): 4.9
# E (eV/atom): -3.466